# DyYMoO6 (PBE+U, relaxed)
data_DyYMoO6
_cell_length_a 4.7936
_cell_length_b 5.5013
_cell_length_c 5.5013
_cell_angle_alpha 120.00
_cell_angle_beta 90.00
_cell_angle_gamma 90.00
_symmetry_space_group_name_H-M 'P 1'
_symmetry_Int_Tables_number 1
loop_
_symmetry_equiv_pos_as_xyz
'x,y,z'
loop_
_atom_site_label
_atom_site_fract_x
_atom_site_fract_y
_atom_site_fract_z
Dy1 0.5000 0.6667 0.3333
Y1 0.0000 0.3333 0.6667
Mo1 0.5000 0.0000 0.0000
O1 0.7273 0.7017 0.7073
O2 0.7273 0.2927 0.9944
O3 0.7273 0.0056 0.2983
O4 0.2727 0.2927 0.2983
O5 0.2727 0.7017 0.9944
O6 0.2727 0.0056 0.7073
# - N(E_F) (states/eV/cell) = 0.00
# - SG = P312
# - VASP energy (eV per atom) = -7.99